The following is a DFT calculation (GGA-PBE) of a geometry-optimized Na2Hg2Pd structure.

Computed properties:
- space group = No. 139
- spin magnetization (μB/cell) = 0.0
- E (eV/atom) = -1.571
- energy relative to the lowest polymorph listed for this composition (eV per atom) = 0.323

POSCAR file:
```
Na2Hg2Pd
1.0
-3.665 1.110 -1.031
-1.221 -0.570 3.730
-0.784 7.242 2.958
Na Hg Pd
2 2 1
direct
0.750 0.250 0.500
0.250 0.750 0.500
0.406 0.406 0.189
0.594 0.594 0.811
0.000 0.000 0.000
```